Run 1
Rb2HfAg | GGA-PBE | relaxed

Cell: 12.692 12.692 9.364 Å, 47.33 47.33 90.00°
Positions (direct):
Ag 0.250 0.750 0.500
Ag 0.500 0.500 0.000
Rb 0.481 0.125 0.250
Rb 0.269 0.625 0.250
Rb 0.375 0.519 0.750
Rb 0.875 0.731 0.750
Hf 0.750 0.250 0.500
Hf 0.000 0.000 0.000

Results
- Space group: I-42d, No. 122

---

Run 2
Rb2HfAg | GGA-PBE | relaxed

Cell: 6.162 6.162 6.162 Å, 60.00 60.00 60.00°
Positions (direct):
Ag 0.000 0.000 0.000
Rb 0.750 0.750 0.750
Rb 0.250 0.250 0.250
Hf 0.500 0.500 0.500

Results
- Space group: Fm-3m, No. 225

---

How do the energies compare? Relative to the most stable structure, in eV/atom: run 1 0.000; run 2 0.220.

---

Run 1
RbHf2Ag | GGA-PBE | relaxed

Cell: 5.428 5.428 10.792 Å, 75.43 75.43 90.00°
Positions (direct):
Hf 0.892 0.625 0.250
Hf 0.858 0.125 0.250
Hf 0.875 0.108 0.750
Hf 0.375 0.142 0.750
Rb 0.500 0.500 0.000
Rb 0.250 0.750 0.500
Ag 0.750 0.250 0.500
Ag 0.000 0.000 0.000

Results
- Space group: I-42d, No. 122

---

Run 2
RbHf2Ag | GGA-PBE | relaxed

Cell: 5.060 5.060 5.060 Å, 60.00 60.00 60.00°
Positions (direct):
Hf 0.250 0.250 0.250
Hf 0.750 0.750 0.750
Rb 0.000 0.000 0.000
Ag 0.500 0.500 0.500

Results
- Space group: Fm-3m, No. 225

---

How do the energies compare? Relative to the most stable structure, in eV/atom: run 1 0.120; run 2 0.000.

---

Run 1
RbHfAg3 | GGA-PBE | relaxed

Cell: 5.489 5.489 5.489 Å, 90.00 90.00 90.00°
Positions (direct):
Rb 0.500 0.500 0.500
Ag 0.000 0.000 0.500
Ag 0.500 0.000 0.000
Ag 0.000 0.500 0.000
Hf 0.000 0.000 0.000

Results
- Space group: Pm-3m, No. 221

---

Run 2
RbHfAg3 | GGA-PBE | relaxed

Cell: 5.385 5.385 5.385 Å, 90.00 90.00 90.00°
Positions (direct):
Ag 0.000 0.000 0.500
Ag 0.000 0.500 0.000
Ag 0.500 0.000 0.000
Rb 0.000 0.000 0.000
Hf 0.500 0.500 0.500

Results
- Space group: Pm-3m, No. 221

---

How do the energies compare? Relative to the most stable structure, in eV/atom: run 1 0.000; run 2 1.031.